The following is a PBE calculation of a relaxed structure of BeFeAgPb, from the Open Quantum Materials Database.

crystal system	cubic
ΔE to the lowest computed polymorph	0.000	eV per atom
total magnetization	2.380	μB per formula unit
space group	F-43m, No. 216

Cell lengths 4.524, 4.524, 4.524 Å; angles 60.00, 60.00, 60.00 degrees
Atoms (fractional coordinates):
Ag: 0.500 0.500 0.500
Be: 0.250 0.250 0.250
Fe: 0.750 0.750 0.750
Pb: 0.000 0.000 0.000

---

The following is a PBE calculation of a relaxed structure of Tl2Cu9, from the Open Quantum Materials Database.

crystal system	trigonal
space group	P-3m1, No. 164

Cell lengths 2.827, 2.827, 33.259 Å; angles 90.00, 90.00, 120.00 degrees
Atoms (fractional coordinates):
Cu: 0.333 0.667 0.272
Cu: 0.000 0.000 0.329
Cu: 0.667 0.333 0.386
Cu: 0.333 0.667 0.443
Cu: 0.000 0.000 0.500
Cu: 0.667 0.333 0.557
Cu: 0.333 0.667 0.614
Cu: 0.000 0.000 0.671
Cu: 0.667 0.333 0.728
Tl: 0.667 0.333 0.195
Tl: 0.333 0.667 0.805

---

no.,energy (eV/atom)
1,-4.0266
2,-3.1519